Density functional theory data (PBEsol) for a geometry-optimized ZrMnPb2 structure.

```
ZrMnPb2
1.0
3.207 0.000 0.000
0.000 3.207 0.000
0.000 0.000 8.954
Zr Mn Pb
1 1 2
Direct
0.000 0.000 0.000 Zr
0.500 0.500 0.187 Mn
0.000 0.000 0.403 Pb
0.500 0.500 0.737 Pb
```

## Properties
* E_form: 0.76 eV per formula unit
* E above lowest polymorph: 36 meV per atom
* symmetry: P4mm, No. 99
* total moment: 3.1 μB per cell

---

Density functional theory data (PBEsol) for a geometry-optimized MgZnRu2 structure.

```
MgZnRu2
1.0
2.873 0.000 0.000
0.000 2.873 0.000
0.000 0.000 6.993
Mg Zn Ru
1 1 2
Direct
0.000 0.000 0.000 Mg
0.500 0.500 0.720 Zn
0.000 0.000 0.486 Ru
0.500 0.500 0.260 Ru
```

## Properties
* E_form: -0.06 eV per formula unit
* symmetry: P4mm, No. 99
* total moment: 0.0 μB per cell

---

Density functional theory data (PBEsol) for a geometry-optimized Mg2ZnTc structure.

```
Mg2ZnTc
1.0
0.000 3.158 3.158
3.158 0.000 3.158
3.158 3.158 0.000
Mg Zn Tc
2 1 1
Direct
0.250 0.250 0.250 Mg
0.750 0.750 0.750 Mg
0.000 0.000 0.000 Zn
0.500 0.500 0.500 Tc
```

## Properties
* E_form: 1.27 eV per formula unit
* symmetry: Fm-3m, No. 225
* total moment: 0.0 μB per cell

---

Density functional theory data (PBEsol) for a geometry-optimized ZnCdO2 structure.

```
ZnCdO2
1.0
-2.430 2.430 4.693
2.430 -2.430 4.693
2.430 2.430 -4.693
Zn Cd O
2 2 4
Direct
0.000 0.000 0.000 Zn
0.750 0.250 0.500 Zn
0.250 0.750 0.500 Cd
0.500 0.500 0.000 Cd
0.085 0.625 0.960 O
0.375 0.335 0.460 O
0.665 0.125 0.040 O
0.875 0.915 0.540 O
```

## Properties
* energy relative to the elements, uncorrected: -1.191 eV/atom
* symmetry: I-42d, No. 122
* total moment: 0.0 μB per cell

---

Density functional theory data (PBEsol) for a geometry-optimized SrLi2Hg2 structure.

```
SrLi2Hg2
1.0
-2.142 2.142 6.563
2.142 -2.142 6.563
2.142 2.142 -6.563
Sr Li Hg
1 2 2
Direct
0.000 0.000 0.000 Sr
0.250 0.750 0.500 Li
0.750 0.250 0.500 Li
0.385 0.385 0.000 Hg
0.615 0.615 0.000 Hg
```

## Properties
* E_form: -2.05 eV per formula unit
* E above lowest polymorph: 0 meV per atom
* symmetry: I4/mmm, No. 139
* total moment: 0.0 μB per cell

---

Density functional theory data (PBEsol) for a geometry-optimized ZrMnAs3 structure.

```
ZrMnAs3
1.0
5.082 0.000 0.000
0.000 5.082 0.000
0.000 0.000 5.082
Zr Mn As
1 1 3
Direct
0.000 0.000 0.000 Zr
0.500 0.500 0.500 Mn
0.000 0.000 0.500 As
0.000 0.500 0.000 As
0.500 0.000 0.000 As
```

## Properties
* E_form: 3.09 eV per formula unit
* symmetry: Pm-3m, No. 221
* total moment: 4.7 μB per cell

---

Density functional theory data (PBEsol) for a geometry-optimized AgHg2Ir structure.

```
AgHg2Ir
1.0
-2.154 2.154 3.757
2.154 -2.154 3.757
2.154 2.154 -3.757
Ag Hg Ir
1 2 1
Direct
0.000 0.000 0.000 Ag
0.250 0.750 0.500 Hg
0.750 0.250 0.500 Hg
0.500 0.500 0.000 Ir
```

## Properties
* E_form: 1.25 eV per formula unit
* E above lowest polymorph: 0 meV per atom
* symmetry: I4/mmm, No. 139
* total moment: 0.0 μB per cell

---

Density functional theory data (PBEsol) for a geometry-optimized ZrMn3 structure.

```
ZrMn3
1.0
-1.471 2.130 4.181
1.471 -2.130 4.181
1.471 2.130 -4.181
Zr Mn
1 3
Direct
0.000 0.000 0.000 Zr
0.268 0.768 0.500 Mn
0.500 0.500 0.000 Mn
0.732 0.232 0.500 Mn
```

## Properties
* E_form: 0.87 eV per formula unit
* symmetry: Immm, No. 71
* total moment: 2.3 μB per cell